(1)
Below is a geometry-optimized Pm6Ge2SeBr3 structure, with properties calculated at the PBE level.

abc: 18.939 4.274 8.675
angles: 90.00 105.20 90.00
Space group C2/m (No. 12)
Asymmetric unit:
Pm  0.010  0.000  0.229 [4 per cell]
Pm  0.159  0.500  0.107 [4 per cell]
Pm  0.176  0.500  0.564 [4 per cell]
Ge  0.166  0.000  0.333 [4 per cell]
Se  0.000  0.500  0.000 [2 per cell]
Br  0.000  0.500  0.500 [2 per cell]
Br  0.168  0.000  0.834 [4 per cell]

Properties
electronic total energy	-61.43	eV per formula unit
raw formation energy	-1266	meV per atom
magnetization	0.00	μB per cell
DOS(E_F)	12.6	states/eV per cell

(2)
Below is a geometry-optimized Pm4SiGeBr2 structure, with properties calculated at the PBE level.

abc: 7.372 4.267 7.653
angles: 90.00 108.79 90.00
Space group P2/m (No. 10)
Asymmetric unit:
Pm  0.234  0.000  0.211 [2 per cell]
Pm  0.260  0.500  0.788 [2 per cell]
Si  0.000  0.500  0.000 [1 per cell]
Ge  0.500  0.000  0.000 [1 per cell]
Br  0.000  0.000  0.500 [1 per cell]
Br  0.500  0.500  0.500 [1 per cell]

Properties
electronic total energy	-41.30	eV per formula unit
raw formation energy	-1114	meV per atom
magnetization	0.00	μB per cell
DOS(E_F)	3.6	states/eV per cell

(3)
Below is a geometry-optimized Pm8SiGe3Br4 structure, with properties calculated at the PBE level.

abc: 10.556 10.364 7.395
angles: 90.00 91.44 90.00
Space group C2/m (No. 12)
Asymmetric unit:
Pm  0.000  0.250  0.249 [8 per cell]
Pm  0.248  0.000  0.751 [4 per cell]
Pm  0.249  0.000  0.250 [4 per cell]
Si  0.000  0.000  0.000 [2 per cell]
Ge  0.000  0.500  0.000 [2 per cell]
Ge  0.250  0.250  0.500 [4 per cell]
Br  0.000  0.000  0.500 [2 per cell]
Br  0.000  0.500  0.500 [2 per cell]
Br  0.250  0.250  0.000 [4 per cell]

Properties
electronic total energy	-78.06	eV per formula unit
raw formation energy	-881	meV per atom
magnetization	0.00	μB per cell
DOS(E_F)	22.1	states/eV per cell

(4)
Below is a geometry-optimized Pm8Si3GeBr4 structure, with properties calculated at the PBE level.

abc: 14.733 8.506 8.770
angles: 90.00 124.05 90.00
Space group C2/m (No. 12)
Asymmetric unit:
Pm  0.014  0.248  0.289 [8 per cell]
Pm  0.237  0.000  0.710 [4 per cell]
Pm  0.237  0.500  0.710 [4 per cell]
Si  0.000  0.000  0.500 [2 per cell]
Si  0.250  0.250  0.500 [4 per cell]
Ge  0.000  0.500  0.500 [2 per cell]
Br  0.000  0.000  0.000 [2 per cell]
Br  0.000  0.500  0.000 [2 per cell]
Br  0.250  0.250  0.000 [4 per cell]

Properties
electronic total energy	-83.23	eV per formula unit
raw formation energy	-1103	meV per atom
magnetization	0.00	μB per cell
DOS(E_F)	13.0	states/eV per cell

(5)
Below is a geometry-optimized PmSmGeBr structure, with properties calculated at the PBE level.

abc: 7.394 7.394 7.394
angles: 90.00 90.00 90.00
Space group F-43m (No. 216)
Asymmetric unit:
Pm  0.000  0.000  0.000 [4 per cell]
Sm  0.000  0.000  0.500 [4 per cell]
Ge  0.250  0.250  0.250 [4 per cell]
Br  0.250  0.250  0.750 [4 per cell]

Properties
offset from the most stable computed form	0	meV/atom
electronic total energy	-19.31	eV per formula unit
raw formation energy	-889	meV per atom
magnetization	0.01	μB per cell
DOS(E_F)	15.0	states/eV per cell

(6)
Below is a geometry-optimized PmSmGeBr structure, with properties calculated at the PBE level.

abc: 5.884 5.044 8.823
angles: 90.00 90.00 90.00
Space group Amm2 (No. 38)
Asymmetric unit:
Pm  0.000  0.000  0.000 [2 per cell]
Sm  0.500  0.000  0.332 [2 per cell]
Ge  0.000  0.000  0.332 [2 per cell]
Br  0.500  0.000  0.000 [2 per cell]

Properties
offset from the most stable computed form	66	meV/atom
electronic total energy	-19.05	eV per formula unit
raw formation energy	-822	meV per atom
magnetization	0.00	μB per cell
DOS(E_F)	3.3	states/eV per cell

(7)
Below is a geometry-optimized Pm6Ge2TeBr3 structure, with properties calculated at the PBE level.

abc: 18.906 4.340 8.694
angles: 90.00 102.40 90.00
Space group C2/m (No. 12)
Asymmetric unit:
Pm  0.016  0.000  0.261 [4 per cell]
Pm  0.171  0.500  0.122 [4 per cell]
Pm  0.174  0.500  0.567 [4 per cell]
Ge  0.169  0.000  0.339 [4 per cell]
Te  0.000  0.500  0.000 [2 per cell]
Br  0.000  0.500  0.500 [2 per cell]
Br  0.163  0.000  0.836 [4 per cell]

Properties
electronic total energy	-60.10	eV per formula unit
raw formation energy	-1183	meV per atom
magnetization	0.00	μB per cell
DOS(E_F)	11.9	states/eV per cell

(8)
Below is a geometry-optimized Pm8Ge3Te4Br structure, with properties calculated at the PBE level.

abc: 8.7046 8.7046 21.7564
angles: 90.00 90.00 120.00
Space group R-3m (No. 166, hexagonal axes)
Asymmetric unit:
Pm  0.0000  0.0000  0.2412 [6 per cell]
Pm  0.0152  0.5076  0.7578 [18 per cell]
Ge  0.0000  0.5000  0.5000 [9 per cell]
Te  0.0000  0.0000  0.0000 [3 per cell]
Te  0.0000  0.5000  0.0000 [9 per cell]
Br  0.0000  0.0000  0.5000 [3 per cell]

Properties
electronic total energy	-86.52	eV per formula unit
raw formation energy	-1277	meV per atom
magnetization	0.00	μB per cell
DOS(E_F)	15.0	states/eV per cell

(9)
Below is a geometry-optimized Pm6Ge2Te3Br structure, with properties calculated at the PBE level.

abc: 19.189 4.340 8.850
angles: 90.00 103.33 90.00
Space group C2/m (No. 12)
Asymmetric unit:
Pm  0.015  0.000  0.264 [4 per cell]
Pm  0.173  0.500  0.114 [4 per cell]
Pm  0.173  0.500  0.569 [4 per cell]
Ge  0.168  0.000  0.334 [4 per cell]
Te  0.000  0.500  0.500 [2 per cell]
Te  0.159  0.000  0.836 [4 per cell]
Br  0.000  0.500  0.000 [2 per cell]

Properties
electronic total energy	-64.17	eV per formula unit
raw formation energy	-1277	meV per atom
magnetization	0.00	μB per cell
DOS(E_F)	9.2	states/eV per cell

(10)
Below is a geometry-optimized Pm3GeTeBr structure, with properties calculated at the PBE level.

abc: 8.947 4.261 10.434
angles: 90.00 91.01 90.00
Space group P2_1/m (No. 11)
Asymmetric unit:
Pm  0.108  0.250  0.358 [2 per cell]
Pm  0.144  0.250  0.915 [2 per cell]
Pm  0.359  0.750  0.636 [2 per cell]
Ge  0.126  0.250  0.642 [2 per cell]
Te  0.374  0.750  0.332 [2 per cell]
Br  0.367  0.750  0.925 [2 per cell]

Properties
electronic total energy	-30.31	eV per formula unit
raw formation energy	-1105	meV per atom
magnetization	2.67	μB per cell
DOS(E_F)	4.6	states/eV per cell

(11)
Below is a geometry-optimized Pm4GeTe2Br structure, with properties calculated at the PBE level.

abc: 7.582 4.346 7.632
angles: 90.00 109.00 90.00
Space group P2/m (No. 10)
Asymmetric unit:
Pm  0.225  0.000  0.224 [2 per cell]
Pm  0.233  0.500  0.765 [2 per cell]
Ge  0.000  0.500  0.000 [1 per cell]
Te  0.000  0.000  0.500 [1 per cell]
Te  0.500  0.500  0.500 [1 per cell]
Br  0.500  0.000  0.000 [1 per cell]

Properties
electronic total energy	-41.78	eV per formula unit
raw formation energy	-1276	meV per atom
magnetization	0.00	μB per cell
DOS(E_F)	4.1	states/eV per cell

(12)
Below is a geometry-optimized PmZnGeBr structure, with properties calculated at the PBE level.

abc: 4.2545 4.2545 41.5538
angles: 90.00 90.00 120.00
Space group R-3m (No. 166, hexagonal axes)
Asymmetric unit:
Pm  0.0000  0.0000  0.0792 [6 per cell]
Zn  0.0000  0.0000  0.3098 [6 per cell]
Ge  0.0000  0.0000  0.3734 [6 per cell]
Br  0.0000  0.0000  0.2106 [6 per cell]

Properties
electronic total energy	-16.14	eV per formula unit
raw formation energy	-958	meV per atom
magnetization	0.00	μB per cell
DOS(E_F)	0.3	states/eV per cell